Compound: AcCrHgO5
Source: the Alexandria database
Functional: GGA+U
Structure: relaxed

Cell lengths 6.462, 6.462, 8.916 Å; angles 109.19, 109.19, 93.32 degrees
Fractional positions:
Ac1 0.000 0.500 0.000
Ac2 0.500 0.000 0.500
Cr1 0.100 0.900 0.750
Cr2 0.900 0.100 0.250
Hg1 0.428 0.572 0.750
Hg2 0.572 0.428 0.250
O1 0.151 0.700 0.847
O2 0.161 0.168 0.397
O3 0.168 0.161 0.897
O4 0.300 0.849 0.653
O5 0.353 0.647 0.250
O6 0.647 0.353 0.750
O7 0.700 0.151 0.347
O8 0.832 0.839 0.103
O9 0.839 0.832 0.603
O10 0.849 0.300 0.153

## Properties
Its total DFT energy (no corrections) is -6.328 eV/atom.